(1)
BaCaInPd2 | PBE | relaxed

Cell: 5.295 5.295 6.687 Å, 90.00 90.00 90.00°
Sites, in units of the cell vectors:
Ba: 0.000 0.000 0.000
Ca: 0.000 0.000 0.500
In: 0.500 0.500 0.000
Pd: 0.000 0.500 0.500
Pd: 0.500 0.000 0.500


(2)
BaCa2InPd | PBE | relaxed

Cell: 5.600 5.600 5.393 Å, 90.00 90.00 90.00°
Sites, in units of the cell vectors:
Ba: 0.000 0.000 0.000
Ca: 0.000 0.500 0.500
Ca: 0.500 0.000 0.500
In: 0.500 0.500 0.000
Pd: 0.500 0.500 0.500

Properties
For the energy above the most stable polymorph in this dataset, the calculation gives 0.0 kJ/mol of atoms.


(3)
Ba2CaInPd | PBE | relaxed

Cell: 6.156 6.156 5.546 Å, 90.00 90.00 90.00°
Sites, in units of the cell vectors:
Ba: 0.000 0.500 0.000
Ba: 0.500 0.000 0.000
Ca: 0.000 0.000 0.500
In: 0.500 0.500 0.500
Pd: 0.000 0.000 0.000

Properties
For the energy above the most stable polymorph in this dataset, the calculation gives 0.0 kJ/mol of atoms.


E_tot list, top to bottom, in eV per atom: -2.956 -3.168 -3.052
Energy relative to the elements list, top to bottom, in eV/f.u.: 2.3 -2.0 -1.5